A relaxed structure of SmMgSn2. Source: Alexandria, functional PBE.

Summary:
**Formation energy**: -0.388 eV/atom
**DFT total energy**: -3.968 eV per atom

abc: 3.826 3.826 7.042
angles: 90.00 90.00 90.00
Space group P4/mmm (No. 123)
Inequivalent atoms, fractional coordinates:
Sm1 0.000 0.000 0.000 [1 per cell]
Mg1 0.000 0.000 0.500 [1 per cell]
Sn1 0.500 0.500 0.280 [2 per cell]